A plane-wave DFT calculation with PBE was carried out for a geometry-optimized MnIrRhS structure.

calculated volume: 14.38 Å³ per atom
total energy: -7.40 eV/atom

abc: 4.183 2.941 10.315
angles: 90.00 114.94 90.00
Site moments in Bohr magnetons follow the coordinates.
Atoms (fractional coordinates):
S1 0.505 0.000 0.568  -0.06
S2 0.505 0.500 0.068  -0.06
Ir1 0.464 0.000 0.779  0.00
Ir2 0.464 0.500 0.279  0.00
Rh1 0.922 0.000 0.062  -0.03
Rh2 0.922 0.500 0.562  -0.03
Mn1 0.040 0.000 0.353  3.11
Mn2 0.040 0.500 0.853  3.11